No. 1
This record from the Alexandria database describes crystalline BaZnSb2 at its relaxed geometry. The functional is PBE.

Cell lengths 6.5635, 6.5635, 6.5635 Å; angles 44.79, 44.79, 44.79 degrees
Positions (direct):
Ba: 0.0000 0.0000 0.0000
Zn: 0.5000 0.5000 0.5000
Sb: 0.2051 0.2051 0.2051
Sb: 0.7949 0.7949 0.7949

Output
VASP energy (eV/cell): -12.9
Crystal system: trigonal
ΔE_f (raw) (meV per atom): -365
Theoretical density (kg/m³): 5805



No. 2
This record from the Alexandria database describes crystalline BaZnSb2 at its relaxed geometry. The functional is PBE.

Cell lengths 4.7422, 4.7422, 5.3149 Å; angles 90.00, 90.00, 90.00 degrees
Positions (direct):
Ba: 0.0000 0.0000 0.0000
Zn: 0.5000 0.5000 0.0000
Sb: 0.0000 0.5000 0.5000
Sb: 0.5000 0.0000 0.5000

Output
VASP energy (eV/cell): -12.8
Crystal system: tetragonal
ΔE_f (raw) (meV per atom): -341
Theoretical density (kg/m³): 6200



No. 3
This record from the Alexandria database describes crystalline BaZnSb2 at its relaxed geometry. The functional is PBE.

Cell lengths 12.5827, 12.5827, 12.5827 Å; angles 159.38, 159.38, 29.32 degrees
Positions (direct):
Ba: 0.1166 0.1166 0.0000
Ba: 0.8834 0.8834 0.0000
Zn: 0.2500 0.7500 0.5000
Zn: 0.7500 0.2500 0.5000
Sb: 0.0000 0.5000 0.5000
Sb: 0.3173 0.3173 0.0000
Sb: 0.5000 0.0000 0.5000
Sb: 0.6827 0.6827 0.0000

Output
VASP energy (eV/cell): -27.6
Crystal system: tetragonal
ΔE_f (raw) (meV per atom): -596
Theoretical density (kg/m³): 6002



No. 4
This record from the Alexandria database describes crystalline Ba3Zn3Sb at its relaxed geometry. The functional is PBE.

Cell lengths 10.8792, 10.8792, 4.7698 Å; angles 90.00, 90.00, 120.00 degrees
Positions (direct):
Ba: 0.1046 0.4150 0.2500
Ba: 0.3104 0.8954 0.2500
Ba: 0.4150 0.3104 0.7500
Ba: 0.5850 0.6896 0.2500
Ba: 0.6896 0.1046 0.7500
Ba: 0.8954 0.5850 0.7500
Zn: 0.0288 0.1553 0.7500
Zn: 0.1266 0.9712 0.7500
Zn: 0.1553 0.1266 0.2500
Zn: 0.8447 0.8734 0.7500
Zn: 0.8734 0.0288 0.2500
Zn: 0.9712 0.8447 0.2500
Sb: 0.3333 0.6667 0.7500
Sb: 0.6667 0.3333 0.2500

Output
VASP energy (eV/cell): -33.5
Crystal system: hexagonal
ΔE_f (raw) (meV per atom): -435
Theoretical density (kg/m³): 4959



No. 5
This record from the Alexandria database describes crystalline BaZn2Sb2 at its relaxed geometry. The functional is PBE.

Cell lengths 8.4170, 8.4170, 3.6901 Å; angles 90.00, 90.00, 90.00 degrees
Positions (direct):
Ba: 0.0000 0.0000 0.0000
Ba: 0.5000 0.5000 0.0000
Zn: 0.1134 0.3866 0.0000
Zn: 0.3866 0.8866 0.0000
Zn: 0.6134 0.1134 0.0000
Zn: 0.8866 0.6134 0.0000
Sb: 0.1718 0.6718 0.5000
Sb: 0.3282 0.1718 0.5000
Sb: 0.6718 0.8282 0.5000
Sb: 0.8282 0.3282 0.5000

Output
VASP energy (eV/cell): -28.0
Crystal system: tetragonal
ΔE_f (raw) (meV per atom): -257
Theoretical density (kg/m³): 6500



No. 6
This record from the Alexandria database describes crystalline Ba2ZnSb2 at its relaxed geometry. The functional is PBE.

Cell lengths 8.6558, 8.6558, 4.9504 Å; angles 90.00, 90.00, 90.00 degrees
Positions (direct):
Ba: 0.1805 0.3195 0.0000
Ba: 0.3195 0.8195 0.0000
Ba: 0.6805 0.1805 0.0000
Ba: 0.8195 0.6805 0.0000
Zn: 0.0000 0.0000 0.5000
Zn: 0.5000 0.5000 0.5000
Sb: 0.1172 0.6172 0.5000
Sb: 0.3828 0.1172 0.5000
Sb: 0.6172 0.8828 0.5000
Sb: 0.8828 0.3828 0.5000

Output
VASP energy (eV/cell): -33.1
Crystal system: tetragonal
ΔE_f (raw) (meV per atom): -636
Theoretical density (kg/m³): 5226



No. 7
This record from the Alexandria database describes crystalline BaZnSb2 at its relaxed geometry. The functional is PBE.

Cell lengths 6.0738, 6.0738, 3.5255 Å; angles 90.00, 90.00, 111.38 degrees
Positions (direct):
Ba: 0.0000 0.0000 0.0000
Zn: 0.5000 0.5000 0.0000
Sb: 0.0000 0.5000 0.5000
Sb: 0.5000 0.0000 0.5000

Output
VASP energy (eV/cell): -12.2
Crystal system: orthorhombic
ΔE_f (raw) (meV per atom): -199
Theoretical density (kg/m³): 6119



No. 8
This record from the Alexandria database describes crystalline Ba2ZnSb2 at its relaxed geometry. The functional is PBE.

Cell lengths 8.4358, 8.4358, 8.4358 Å; angles 132.89, 132.89, 68.83 degrees
Positions (direct):
Ba: 0.2500 0.7500 0.5000
Ba: 0.7500 0.2500 0.5000
Zn: 0.0000 0.0000 0.0000
Sb: 0.1807 0.1807 0.0000
Sb: 0.8193 0.8193 0.0000

Output
VASP energy (eV/cell): -16.3
Crystal system: tetragonal
ΔE_f (raw) (meV per atom): -593
Theoretical density (kg/m³): 3063